Material: TbY5Zn4
Method: DFT, PBE
State: optimized geometry

VASP energy	-4.486	eV per atom
V	248.9	Å³ per cell
spin magnetization	0.00	μB per atom

a = 3.5780 Å, b = 3.5780 Å, c = 19.4430 Å
α = 90.00°, β = 90.00°, γ = 90.00°
Closest atoms and distances in Å follow each position.
Sites, in units of the cell vectors:
Y 0.5000 0.5000 0.5000  8 Zn 3.11
Tb 0.0000 0.0000 0.0000  4 Tb 3.58, 8 Y 3.61
Y 0.5000 0.5000 0.8675  4 Zn 3.09
Y 0.5000 0.5000 0.6837  8 Zn 3.08-3.10
Zn 0.0000 0.0000 0.7759  8 Y 3.09-3.10
Zn 0.0000 0.0000 0.5931  8 Y 3.08-3.11
Zn 0.0000 0.0000 0.4069  8 Y 3.08-3.11
Y 0.5000 0.5000 0.3163  8 Zn 3.08-3.10
Zn 0.0000 0.0000 0.2241  8 Y 3.09-3.10
Y 0.5000 0.5000 0.1325  4 Zn 3.09

Material: KSrTeSe2
Method: DFT, PBE
State: optimized geometry

VASP energy	-3.656	eV per atom
V	351.4	Å³ per cell
spin magnetization	0.00	μB per atom

a = 5.0057 Å, b = 7.8021 Å, c = 9.0924 Å
α = 98.32°, β = 90.00°, γ = 90.00°
Closest atoms and distances in Å follow each position.
Sites, in units of the cell vectors:
Sr 0.4918 0.0000 0.2500  4 Se 3.11-3.16, 4 Te 3.35-3.41
K 0.8772 0.5000 0.2500  6 Se 3.53-3.56
Te 0.0000 0.0000 0.5000  2 Se 2.81
Se 0.3788 0.7317 0.4710  1 Te 2.81, 1 Sr 3.11
Se 0.6212 0.7317 0.9710  1 Te 2.81, 1 Sr 3.11
Se 0.6212 0.2683 0.5290  1 Te 2.81, 1 Sr 3.11
K 0.1228 0.5000 0.7500  6 Se 3.53-3.56
Te 0.0000 0.0000 0.0000  2 Se 2.81
Sr 0.5082 0.0000 0.7500  4 Se 3.11-3.16, 4 Te 3.35-3.41
Se 0.3788 0.2683 0.0290  1 Te 2.81, 1 Sr 3.11

Material: TaCo2OsPd
Method: DFT, PBE
State: optimized geometry

VASP energy	-6.682	eV per atom
V	89.8	Å³ per cell
spin magnetization	0.57	μB per atom

a = 4.3610 Å, b = 4.7221 Å, c = 4.3610 Å
α = 90.00°, β = 90.00°, γ = 90.00°
Closest atoms and distances in Å follow each position.
Sites, in units of the cell vectors:
Ta 0.0000 0.0000 0.0000  4 Co 2.18, 2 Pd 2.36
Co 0.5000 0.0000 0.0000  2 Ta 2.18
Co 0.0000 0.0000 0.5000  2 Ta 2.18
Pd 0.0000 0.5000 0.0000  2 Ta 2.36
Os 0.5000 0.5000 0.5000  4 Pd 3.08, 8 Co 3.21

Material: Pm2YZn5
Method: DFT, PBE
State: optimized geometry

VASP energy	-3.086	eV per atom
V	171.4	Å³ per cell
spin magnetization	0.00	μB per atom

a = 4.8593 Å, b = 4.8593 Å, c = 8.0292 Å
α = 107.61°, β = 107.61°, γ = 90.00°
Closest atoms and distances in Å follow each position.
Sites, in units of the cell vectors:
Zn 0.8890 0.3890 0.7781  2 Y 2.91, 3 Zn 2.91-3.22, 2 Pm 2.99
Pm 0.2684 0.2684 0.5368  8 Zn 2.99-3.34
Zn 0.6110 0.1110 0.2219  3 Zn 2.91-3.22, 2 Y 2.91, 2 Pm 2.99
Zn 0.3890 0.8890 0.7781  3 Zn 2.91-3.22, 2 Y 2.91, 2 Pm 2.99
Zn 0.1110 0.6110 0.2219  2 Y 2.91, 3 Zn 2.91-3.22, 2 Pm 2.99
Zn 0.5000 0.5000 0.0000  8 Zn 2.91
Pm 0.7316 0.7316 0.4632  8 Zn 2.99-3.34
Y 0.0000 0.0000 0.0000  8 Zn 2.91

Material: Zn3In5Sn12
Method: DFT, PBE
State: optimized geometry

VASP energy	-3.114	eV per atom
V	2475.0	Å³ per cell
spin magnetization	0.00	μB per atom

a = 14.7592 Å, b = 14.7592 Å, c = 14.7592 Å
α = 109.47°, β = 109.47°, γ = 109.47°
Closest atoms and distances in Å follow each position.
Sites, in units of the cell vectors:
Sn 0.3318 0.7590 0.3901  1 Zn 2.75, 2 In 2.94-3.00
In 0.7500 0.6250 0.3750  4 Sn 2.94
Sn 0.9272 0.3689 0.2590  1 Zn 2.75, 2 In 2.94-3.00
Sn 0.7590 0.4272 0.3689  1 Zn 2.75, 2 In 2.94-3.00
Sn 0.2410 0.6682 0.1099  1 Zn 2.75, 2 In 2.94-3.00
In 0.1250 0.3750 0.2500  4 Sn 2.94
Sn 0.6311 0.0728 0.2410  1 Zn 2.75, 2 In 2.94-3.00
Sn 0.6099 0.7410 0.6682  1 Zn 2.75, 2 In 2.94-3.00
Sn 0.8318 0.9417 0.0728  1 Zn 2.75, 2 In 2.94-3.00
Sn 0.5728 0.3318 0.9417  1 Zn 2.75, 2 In 2.94-3.00
Zn 0.6250 0.2500 0.3750  4 Sn 2.75
In 0.6250 0.7500 0.8750  4 Sn 2.94
Zn 0.8750 0.7500 0.1250  4 Sn 2.75
In 0.5000 0.0000 0.0000  6 Sn 3.00
Sn 0.5583 0.6311 0.3901  1 Zn 2.75, 2 In 2.94-3.00
In 0.3750 0.2500 0.1250  4 Sn 2.94
Sn 0.5728 0.2410 0.1311  1 Zn 2.75, 2 In 2.94-3.00
Sn 0.9272 0.5583 0.1682  1 Zn 2.75, 2 In 2.94-3.00
In 0.0000 0.5000 0.5000  6 Sn 3.00
In 0.5000 0.5000 0.5000  6 Sn 3.00
In 0.0000 0.0000 0.0000  6 Sn 3.00
Sn 0.4272 0.7590 0.8689  1 Zn 2.75, 2 In 2.94-3.00
Sn 0.7590 0.3318 0.8901  1 Zn 2.75, 2 In 2.94-3.00
Sn 0.1099 0.9417 0.3689  1 Zn 2.75, 2 In 2.94-3.00
Sn 0.1311 0.7410 0.5728  1 Zn 2.75, 2 In 2.94-3.00
Sn 0.0583 0.8901 0.1311  1 Zn 2.75, 2 In 2.94-3.00
Zn 0.7500 0.8750 0.6250  4 Sn 2.75
Sn 0.7410 0.1311 0.0728  1 Zn 2.75, 2 In 2.94-3.00
Sn 0.3689 0.4417 0.1099  1 Zn 2.75, 2 In 2.94-3.00
Zn 0.6250 0.3750 0.7500  4 Sn 2.75
Sn 0.1682 0.1099 0.7410  1 Zn 2.75, 2 In 2.94-3.00
In 0.0000 0.0000 0.5000  6 Sn 3.00
In 0.8750 0.6250 0.7500  4 Sn 2.94
Zn 0.2500 0.6250 0.8750  4 Sn 2.75
In 0.2500 0.3750 0.6250  4 Sn 2.94
In 0.5000 0.0000 0.5000  6 Sn 3.00
Sn 0.1311 0.3901 0.0583  1 Zn 2.75, 2 In 2.94-3.00
Sn 0.7410 0.6099 0.1682  1 Zn 2.75, 2 In 2.94-3.00
Sn 0.6682 0.2410 0.6099  1 Zn 2.75, 2 In 2.94-3.00
Zn 0.1250 0.8750 0.7500  4 Sn 2.75
Sn 0.6099 0.8689 0.4417  1 Zn 2.75, 2 In 2.94-3.00
Sn 0.6682 0.4272 0.5583  1 Zn 2.75, 2 In 2.94-3.00
Sn 0.1099 0.1682 0.2410  1 Zn 2.75, 2 In 2.94-3.00
Sn 0.8689 0.6099 0.9417  1 Zn 2.75, 2 In 2.94-3.00
In 0.8750 0.2500 0.6250  4 Sn 2.94
Zn 0.1250 0.2500 0.8750  4 Sn 2.75
Sn 0.3689 0.9272 0.7590  1 Zn 2.75, 2 In 2.94-3.00
Sn 0.3318 0.5728 0.4417  1 Zn 2.75, 2 In 2.94-3.00
Sn 0.0728 0.4417 0.8318  1 Zn 2.75, 2 In 2.94-3.00
Sn 0.9417 0.1099 0.8689  1 Zn 2.75, 2 In 2.94-3.00
Sn 0.3901 0.2590 0.3318  1 Zn 2.75, 2 In 2.94-3.00
Sn 0.8901 0.0583 0.6311  1 Zn 2.75, 2 In 2.94-3.00
Sn 0.8318 0.8901 0.2590  1 Zn 2.75, 2 In 2.94-3.00
Sn 0.2410 0.5728 0.6311  1 Zn 2.75, 2 In 2.94-3.00
Sn 0.4417 0.3689 0.6099  1 Zn 2.75, 2 In 2.94-3.00
Sn 0.1682 0.0583 0.9272  1 Zn 2.75, 2 In 2.94-3.00
In 0.2500 0.8750 0.1250  4 Sn 2.94
Zn 0.3750 0.7500 0.6250  4 Sn 2.75
Sn 0.8689 0.2590 0.4272  1 Zn 2.75, 2 In 2.94-3.00
Sn 0.2590 0.3901 0.8318  1 Zn 2.75, 2 In 2.94-3.00
Zn 0.3750 0.6250 0.2500  4 Sn 2.75
In 0.3750 0.1250 0.7500  4 Sn 2.94
Sn 0.8901 0.8318 0.7590  1 Zn 2.75, 2 In 2.94-3.00
Sn 0.4272 0.6682 0.0583  1 Zn 2.75, 2 In 2.94-3.00
Zn 0.7500 0.3750 0.1250  4 Sn 2.75
Sn 0.6311 0.5583 0.8901  1 Zn 2.75, 2 In 2.94-3.00
Sn 0.5583 0.9272 0.6682  1 Zn 2.75, 2 In 2.94-3.00
Sn 0.0583 0.1682 0.4272  1 Zn 2.75, 2 In 2.94-3.00
In 0.5000 0.5000 0.0000  6 Sn 3.00
Sn 0.2590 0.8689 0.9272  1 Zn 2.75, 2 In 2.94-3.00
Zn 0.8750 0.1250 0.2500  4 Sn 2.75
In 0.1250 0.7500 0.3750  4 Sn 2.94
Sn 0.0728 0.6311 0.7410  1 Zn 2.75, 2 In 2.94-3.00
Zn 0.2500 0.1250 0.3750  4 Sn 2.75
In 0.6250 0.8750 0.2500  4 Sn 2.94
In 0.7500 0.1250 0.8750  4 Sn 2.94
Sn 0.3901 0.1311 0.5583  1 Zn 2.75, 2 In 2.94-3.00
In 0.0000 0.5000 0.0000  6 Sn 3.00
Sn 0.4417 0.0728 0.3318  1 Zn 2.75, 2 In 2.94-3.00
Sn 0.9417 0.8318 0.5728  1 Zn 2.75, 2 In 2.94-3.00

Material: Cr4InAu
Method: DFT, PBE
State: optimized geometry

VASP energy	-7.027	eV per atom
V	85.1	Å³ per cell
spin magnetization	0.00	μB per atom

a = 4.9374 Å, b = 4.9374 Å, c = 4.9374 Å
α = 60.00°, β = 60.00°, γ = 60.00°
Closest atoms and distances in Å follow each position.
Sites, in units of the cell vectors:
Cr 0.8794 0.3735 0.3735  6 Cr 2.44-2.50
Cr 0.3735 0.3735 0.3735  6 Cr 2.44-2.50
Au 0.0000 0.0000 0.0000  12 Cr 2.89, 4 In 3.02
In 0.7500 0.7500 0.7500  12 Cr 2.90, 4 Au 3.02
Cr 0.3735 0.3735 0.8794  6 Cr 2.44-2.50
Cr 0.3735 0.8794 0.3735  6 Cr 2.44-2.50

Material: EuHoZnSi
Method: DFT, PBE
State: optimized geometry

VASP energy	-5.772	eV per atom
V	92.2	Å³ per cell
spin magnetization	1.81	μB per atom

a = 5.0711 Å, b = 5.0711 Å, c = 5.0711 Å
α = 60.00°, β = 60.00°, γ = 60.00°
Closest atoms and distances in Å follow each position.
Sites, in units of the cell vectors:
Zn 0.7500 0.7500 0.7500  4 Ho 3.11, 4 Eu 3.11
Ho 0.5000 0.5000 0.5000  4 Zn 3.11, 4 Si 3.11
Si 0.2500 0.2500 0.2500  4 Ho 3.11, 4 Eu 3.11
Eu 0.0000 0.0000 0.0000  4 Zn 3.11, 4 Si 3.11

Material: PrBePt2
Method: DFT, PBE
State: optimized geometry

VASP energy	-6.093	eV per atom
V	149.7	Å³ per cell
spin magnetization	0.00	μB per atom

a = 4.0674 Å, b = 4.0674 Å, c = 9.1152 Å
α = 94.90°, β = 94.90°, γ = 89.55°
Closest atoms and distances in Å follow each position.
Sites, in units of the cell vectors:
Be 0.2272 0.2272 0.3743  5 Pt 2.30-2.33
Pr 0.6854 0.6854 0.2117  9 Pt 2.98-3.33, 4 Be 3.18-3.30
Pt 0.7508 0.2492 0.5000  4 Be 2.33
Pt 0.2492 0.7508 0.5000  4 Be 2.33
Pt 0.1656 0.1656 0.1199  1 Be 2.30
Be 0.7728 0.7728 0.6257  5 Pt 2.30-2.33
Pt 0.8344 0.8344 0.8801  1 Be 2.30
Pr 0.3146 0.3146 0.7883  9 Pt 2.98-3.33, 4 Be 3.18-3.30

Material: HoCd5Hg2
Method: DFT, PBE
State: optimized geometry

VASP energy	-1.342	eV per atom
V	380.0	Å³ per cell
spin magnetization	0.00	μB per atom

a = 3.8034 Å, b = 6.5716 Å, c = 15.2016 Å
α = 90.00°, β = 90.00°, γ = 90.00°
Closest atoms and distances in Å follow each position.
Sites, in units of the cell vectors:
Ho 0.0000 0.0000 0.5000  4 Hg 3.11, 6 Cd 3.28-3.29
Cd 0.5000 0.7772 0.1291  6 Cd 3.10-3.12, 2 Hg 3.25-3.33, 2 Ho 3.28
Cd 0.0000 0.5294 0.2507  4 Hg 3.09-3.16, 6 Cd 3.11-3.29
Cd 0.0000 0.0294 0.2493  4 Hg 3.09-3.16, 6 Cd 3.11-3.29
Ho 0.0000 0.5000 0.0000  4 Hg 3.11, 6 Cd 3.28-3.29
Cd 0.0000 0.9706 0.7507  4 Hg 3.09-3.16, 6 Cd 3.11-3.29
Cd 0.0000 0.0000 0.0000  4 Cd 3.10, 4 Hg 3.25, 2 Ho 3.29
Hg 0.5000 0.2710 0.1277  8 Cd 3.09-3.33, 2 Ho 3.11
Hg 0.5000 0.7290 0.8723  8 Cd 3.09-3.33, 2 Ho 3.11
Cd 0.5000 0.2228 0.8709  6 Cd 3.10-3.12, 2 Hg 3.25-3.33, 2 Ho 3.28
Cd 0.5000 0.2772 0.3709  6 Cd 3.10-3.12, 2 Hg 3.25-3.33, 2 Ho 3.28
Cd 0.0000 0.5000 0.5000  4 Cd 3.10, 4 Hg 3.25, 2 Ho 3.29
Cd 0.0000 0.4706 0.7493  4 Hg 3.09-3.16, 6 Cd 3.11-3.29
Cd 0.5000 0.7228 0.6291  6 Cd 3.10-3.12, 2 Hg 3.25-3.33, 2 Ho 3.28
Hg 0.5000 0.2290 0.6277  8 Cd 3.09-3.33, 2 Ho 3.11
Hg 0.5000 0.7710 0.3723  8 Cd 3.09-3.33, 2 Ho 3.11

Material: Rb3Si2Sb4
Method: DFT, PBE
State: optimized geometry

VASP energy	-3.507	eV per atom
V	722.4	Å³ per cell
spin magnetization	0.00	μB per atom

a = 7.2739 Å, b = 10.2734 Å, c = 10.2734 Å
α = 70.22°, β = 89.75°, γ = 89.75°
Closest atoms and distances in Å follow each position.
Sites, in units of the cell vectors:
Rb 0.0098 0.9974 0.7450  5 Sb 3.66-3.78, 1 Si 3.87
Sb 0.8788 0.7365 0.5937  2 Si 2.62-2.67
Si 0.0371 0.6007 0.8297  4 Sb 2.62-2.67
Si 0.4629 0.1703 0.3993  4 Sb 2.62-2.67
Si 0.5371 0.8297 0.6007  4 Sb 2.62-2.67
Sb 0.1212 0.2635 0.4063  2 Si 2.62-2.67
Rb 0.9902 0.0026 0.2550  5 Sb 3.66-3.78, 1 Si 3.87
Si 0.9629 0.3993 0.1703  4 Sb 2.62-2.67
Sb 0.6212 0.4063 0.2635  2 Si 2.62-2.67
Sb 0.9962 0.3327 0.9455  2 Si 2.62-2.63
Rb 0.4902 0.2550 0.0026  5 Sb 3.66-3.78, 1 Si 3.87
Rb 0.2500 0.6112 0.3888  6 Sb 3.64-3.89
Sb 0.3788 0.5937 0.7365  2 Si 2.62-2.67
Sb 0.4962 0.9455 0.3327  2 Si 2.62-2.63
Rb 0.5098 0.7450 0.9974  5 Sb 3.66-3.78, 1 Si 3.87
Sb 0.5038 0.0545 0.6673  2 Si 2.62-2.63
Rb 0.7500 0.3888 0.6112  6 Sb 3.64-3.89
Sb 0.0038 0.6673 0.0545  2 Si 2.62-2.63